VASP calculation (GGA-PBEsol) on an optimized crystal structure of CrSbPb.

Output
**E_tot**: -5.79 eV/atom
**Density of states at the Fermi level**: 2.3 states/eV per cell
**ΔE to the lowest computed polymorph**: 106 meV/atom

a = 4.573 Å, b = 4.573 Å, c = 4.221 Å
α = 90.00°, β = 90.00°, γ = 120.00°
Element x y z (fractional)
Cr: 0.000 0.000 0.000
Sb: 0.667 0.333 0.000
Pb: 0.333 0.667 0.500